The following is a DFT calculation (PBE) of an optimized crystal structure of BeFe4As.

The structure belongs to space group F-43m (No. 216); the cell edges are 6.666, 6.666 and 6.666 Å and the angles 90.00°, 90.00° and 90.00°. The inequivalent atoms are Be at (0.000, 0.000, 0.000), Fe at (0.126, 0.126, 0.626) and As at (0.250, 0.250, 0.250).

The total energy comes out at -6.7260 eV per atom. For the formation energy from the elements, the calculation gives 30.08 kJ/mol of atoms.